KMgCr2 (PBE, relaxed); magnetization = 9.284 μB/f.u.; N(E_F) = 1.973 states/eV per cell; raw total energy = -4.378 eV per atom
1.0
-5.229 2.342 -0.396
-0.165 -4.012 4.106
0.808 2.199 2.194
Cr K Mg
2 1 1
Direct
0.000 0.000 0.000
0.500 0.500 0.000
0.500 0.000 0.500
0.000 0.500 0.500